Record 1
Compound: Sb2TePCl
Source: the Alexandria database
Functional: PBE-GGA
Structure: relaxed

Structure (CIF):
```
data_Sb2TePCl
_chemical_formula_sum 'Sb2 Te1 P1 Cl1'
_cell_length_a 5.250
_cell_length_b 5.250
_cell_length_c 5.298
_cell_angle_alpha 90.00
_cell_angle_beta 90.00
_cell_angle_gamma 90.00
_space_group_name_H-M_alt 'P 1'
_space_group_IT_number 1
loop_
_space_group_symop_operation_xyz
'x,y,z'
loop_
_atom_site_label
_atom_site_type_symbol
_atom_site_fract_x
_atom_site_fract_y
_atom_site_fract_z
_atom_site_occupancy
Sb1 Sb 0.000 0.500 0.000 1
Sb2 Sb 0.500 0.000 0.000 1
Te1 Te 0.000 0.000 0.500 1
P1 P 0.000 0.000 0.000 1
Cl1 Cl 0.500 0.500 0.500 1
```

## Properties
DOS(E_F) = 3.92 states/eV/cell
total DFT energy (no corrections) = -3.27 eV per atom
energy above the most stable polymorph in this dataset = 0.0 meV/atom

=====

Record 2
Compound: TiSbPCl2
Source: the Alexandria database
Functional: PBE-GGA
Structure: relaxed

Structure (CIF):
```
data_TiSbPCl2
_chemical_formula_sum 'Ti1 Sb1 P1 Cl2'
_cell_length_a 5.173
_cell_length_b 5.173
_cell_length_c 5.274
_cell_angle_alpha 90.00
_cell_angle_beta 90.00
_cell_angle_gamma 90.00
_space_group_name_H-M_alt 'P 1'
_space_group_IT_number 1
loop_
_space_group_symop_operation_xyz
'x,y,z'
loop_
_atom_site_label
_atom_site_type_symbol
_atom_site_fract_x
_atom_site_fract_y
_atom_site_fract_z
_atom_site_occupancy
Ti1 Ti 0.000 0.000 0.000 1
Sb1 Sb 0.500 0.500 0.500 1
P1 P 0.500 0.500 0.000 1
Cl1 Cl 0.000 0.500 0.500 1
Cl2 Cl 0.500 0.000 0.500 1
```

## Properties
DOS(E_F) = 2.69 states/eV/cell
total DFT energy (no corrections) = -3.80 eV per atom
energy above the most stable polymorph in this dataset = 752.5 meV/atom

=====

Across the entries above, E_form (uncorrected) takes the values 460.3, 420.6 meV/atom, respectively.